[1]
Entry from the Alexandria database: a geometry-optimized Rb3Tl8Hg3 structure (GGA-PBE).

Structure (POSCAR):
```
Rb3Tl8Hg3
1.0
-2.670 5.987 7.906
2.670 -5.987 7.906
2.670 5.987 -7.906
Rb Tl Hg
3 8 3
direct
0.000 0.000 0.000
0.328 0.328 0.000
0.672 0.672 0.000
0.043 0.689 0.353
0.164 0.885 0.279
0.336 0.689 0.647
0.394 0.115 0.279
0.606 0.885 0.721
0.664 0.311 0.353
0.836 0.115 0.721
0.957 0.311 0.647
0.247 0.500 0.747
0.500 0.000 0.500
0.753 0.500 0.253
```

Properties
**Total magnetic moment**: 0.0 μB/f.u.
**DFT formation energy**: -0.08 eV per atom

=====

[2]
Entry from the Alexandria database: a geometry-optimized RbTl5Hg3 structure (GGA-PBE).

Structure (POSCAR):
```
RbTl5Hg3
1.0
9.779 0.000 0.000
-4.890 8.469 0.000
0.000 0.000 6.804
Rb Tl Hg
2 10 6
direct
0.000 0.000 0.000
0.000 0.000 0.500
0.000 0.351 0.250
0.000 0.649 0.750
0.333 0.667 0.000
0.333 0.667 0.500
0.351 0.000 0.250
0.351 0.351 0.750
0.649 0.000 0.750
0.649 0.649 0.250
0.667 0.333 0.000
0.667 0.333 0.500
0.000 0.332 0.750
0.000 0.668 0.250
0.332 0.000 0.750
0.332 0.332 0.250
0.668 0.000 0.250
0.668 0.668 0.750
```

Properties
**Total magnetic moment**: 0.0 μB/f.u.
**DFT formation energy**: -0.05 eV per atom

=====

[3]
Entry from the Alexandria database: a geometry-optimized Rb3TlHg8 structure (GGA-PBE).

Structure (POSCAR):
```
Rb3TlHg8
1.0
3.219 1.858 10.902
-3.219 1.858 10.902
0.000 -3.717 10.902
Rb Tl Hg
3 1 8
direct
0.000 0.000 0.000
0.129 0.129 0.129
0.619 0.619 0.619
0.499 0.499 0.499
0.060 0.060 0.562
0.060 0.562 0.060
0.064 0.562 0.562
0.312 0.312 0.312
0.562 0.060 0.060
0.562 0.064 0.562
0.562 0.562 0.064
0.813 0.813 0.813
```

Properties
**Total magnetic moment**: 0.0 μB/f.u.
**DFT formation energy**: -0.17 eV per atom

=====

[4]
Entry from the Alexandria database: a geometry-optimized RbTl9Hg3 structure (GGA-PBE).

Structure (POSCAR):
```
RbTl9Hg3
1.0
3.099 -8.105 0.000
3.099 8.105 0.000
-3.022 0.000 8.258
Rb Tl Hg
1 9 3
direct
0.000 0.000 0.000
0.000 0.000 0.500
0.004 0.641 0.642
0.293 0.509 0.790
0.359 0.996 0.358
0.491 0.707 0.210
0.509 0.293 0.790
0.641 0.004 0.642
0.707 0.491 0.210
0.996 0.359 0.358
0.000 0.500 0.000
0.500 0.000 0.000
0.500 0.500 0.500
```

Properties
**Total magnetic moment**: 0.0 μB/f.u.
**DFT formation energy**: -0.03 eV per atom

=====

[5]
Entry from the Alexandria database: a geometry-optimized RbTlHg3 structure (GGA-PBE).

Structure (POSCAR):
```
RbTlHg3
1.0
2.973 -9.679 0.000
2.973 9.679 0.000
0.000 0.000 6.221
Rb Tl Hg
2 2 6
direct
0.192 0.808 0.750
0.808 0.192 0.250
0.458 0.542 0.250
0.542 0.458 0.750
0.000 0.000 0.000
0.000 0.000 0.500
0.127 0.384 0.750
0.384 0.127 0.250
0.616 0.873 0.750
0.873 0.616 0.250
```

Properties
**Relative energy among the computed polymorphs**: 19 meV per atom
**Total magnetic moment**: 0.0 μB/f.u.
**DFT formation energy**: -0.12 eV per atom

=====

[6]
Entry from the Alexandria database: a geometry-optimized RbTl6Hg4 structure (GGA-PBE).

Structure (POSCAR):
```
RbTl6Hg4
1.0
9.119 0.000 0.000
-4.560 7.898 0.000
0.000 0.000 4.986
Rb Tl Hg
1 6 4
direct
0.000 0.000 0.000
0.202 0.404 0.500
0.202 0.798 0.500
0.535 0.069 0.000
0.535 0.465 0.000
0.596 0.798 0.500
0.931 0.465 0.000
0.333 0.667 0.000
0.403 0.202 0.500
0.798 0.202 0.500
0.798 0.597 0.500
```

Properties
**Relative energy among the computed polymorphs**: 0 meV per atom
**Total magnetic moment**: 0.0 μB/f.u.
**DFT formation energy**: -0.08 eV per atom

=====

- Number 4 is which compound?
  RbTl9Hg3

=====

- Look up the DFT formation energy of the fifth one.
  -0.12 eV per atom